1.
This record from the Alexandria database describes crystalline Sc2OsPt at its relaxed geometry. The functional is GGA-PBE.

abc: 4.5926 4.5926 4.5926
angles: 60.00 60.00 60.00
Element x y z (fractional)
1 Pt 0.7500 0.7500 0.7500
2 Sc 0.0000 0.0000 0.0000
3 Os 0.5000 0.5000 0.5000
4 Sc 0.2500 0.2500 0.2500

crystal system	cubic
calculated density	11.521	Mg/m³
distance to the lowest polymorph of the same formula	583	meV per atom

2.
This record from the Alexandria database describes crystalline Sc2OsPt at its relaxed geometry. The functional is GGA-PBE.

abc: 2.9576 2.9576 8.5689
angles: 90.00 90.00 90.00
Element x y z (fractional)
1 Sc 0.0000 0.0000 0.9533
2 Os 0.0000 0.0000 0.5098
3 Sc 0.5000 0.5000 0.2991
4 Pt 0.5000 0.5000 0.7377

crystal system	tetragonal
calculated density	10.528	Mg/m³
distance to the lowest polymorph of the same formula	718	meV per atom

3.
This record from the Alexandria database describes crystalline ScOsPt2 at its relaxed geometry. The functional is GGA-PBE.

abc: 4.8669 4.8669 2.8351
angles: 90.00 90.00 110.02
Element x y z (fractional)
1 Sc 0.5000 0.0000 0.5000
2 Pt 0.5000 0.5000 0.0000
3 Pt 0.0000 0.0000 0.0000
4 Os 0.0000 0.5000 0.5000

crystal system	orthorhombic
calculated density	16.458	Mg/m³

4.
This record from the Alexandria database describes crystalline ScOs4Pt at its relaxed geometry. The functional is GGA-PBE.

abc: 5.1741 5.1741 5.1741
angles: 60.00 60.00 60.00
Element x y z (fractional)
1 Os 0.3760 0.3760 0.3760
2 Sc 0.0000 0.0000 0.0000
3 Os 0.3760 0.8722 0.3760
4 Pt 0.7500 0.7500 0.7500
5 Os 0.3760 0.3760 0.8722
6 Os 0.8722 0.3760 0.3760

crystal system	cubic
calculated density	16.970	Mg/m³

5.
This record from the Alexandria database describes crystalline Sc2OsPt at its relaxed geometry. The functional is GGA-PBE.

abc: 3.6134 3.6134 5.6256
angles: 90.00 90.00 90.00
Element x y z (fractional)
1 Pt 0.5000 0.5000 0.7900
2 Sc 0.0000 0.0000 0.9588
3 Os 0.0000 0.0000 0.4555
4 Sc 0.5000 0.5000 0.2958

crystal system	tetragonal
calculated density	10.744	Mg/m³
distance to the lowest polymorph of the same formula	466	meV per atom

6.
This record from the Alexandria database describes crystalline ScOs2Pt at its relaxed geometry. The functional is GGA-PBE.

abc: 4.9320 4.9320 4.9320
angles: 133.16 133.16 68.40
Element x y z (fractional)
1 Os 0.5000 0.5000 0.0000
2 Os 0.0000 0.0000 0.0000
3 Sc 0.7500 0.2500 0.5000
4 Pt 0.2500 0.7500 0.5000

crystal system	tetragonal
calculated density	16.433	Mg/m³

7.
This record from the Alexandria database describes crystalline ScOsPt2 at its relaxed geometry. The functional is GGA-PBE.

abc: 4.5811 2.8356 4.9056
angles: 90.00 90.00 90.00
Element x y z (fractional)
1 Pt 0.5000 0.1251 0.2925
2 Sc 0.0000 0.6250 0.4530
3 Pt 0.0000 0.1249 0.9385
4 Os 0.5000 0.6251 0.8160

crystal system	orthorhombic
calculated density	16.295	Mg/m³

8.
This record from the Alexandria database describes crystalline Sc6OsPt5 at its relaxed geometry. The functional is GGA-PBE.

abc: 4.6864 6.4494 7.4087
angles: 90.00 71.56 90.00
Element x y z (fractional)
1 Pt 0.6648 0.0000 0.6704
2 Sc 0.5000 0.7532 0.0000
3 Sc 0.1647 0.2478 0.6706
4 Pt 0.6684 0.5000 0.6632
5 Pt 0.3316 0.5000 0.3368
6 Sc 0.8353 0.7522 0.3294
7 Sc 0.5000 0.2468 0.0000
8 Sc 0.8353 0.2478 0.3294
9 Os 0.0000 0.0000 0.0000
10 Pt 0.0000 0.5000 0.0000
11 Sc 0.1647 0.7522 0.6706
12 Pt 0.3352 0.0000 0.3296

crystal system	orthorhombic
calculated density	11.220	Mg/m³

Number 1: energy relative to the elements -0.314 eV/atom. Number 2: energy relative to the elements -0.178 eV/atom. Number 3: energy relative to the elements -0.535 eV/atom. Number 4: energy relative to the elements 0.192 eV/atom. Number 5: energy relative to the elements -0.431 eV/atom. Number 6: energy relative to the elements -0.111 eV/atom. Number 7: energy relative to the elements -0.500 eV/atom. Number 8: energy relative to the elements -1.114 eV/atom.